Here is an optimized crystal structure of SrBi2Pd from the Alexandria database. Energies are from PBE.

abc: 7.6015 7.6015 7.6015
angles: 90.00 90.00 90.00
Space group Fm-3m (No. 225)
One atom of each set of equivalent atoms:
Sr  0.0000  0.0000  0.0000
Bi  0.2500  0.2500  0.2500
Pd  0.0000  0.0000  0.5000

## Properties
ΔH_f (0 K) = -1.170 eV per formula unit

---

Here is an optimized crystal structure of Hf2VBi from the Alexandria database. Energies are from PBE.

abc: 3.3065 3.3065 27.8079
angles: 90.00 90.00 120.00
Space group R-3m (No. 166, hexagonal axes)
One atom of each set of equivalent atoms:
Hf  0.0000  0.0000  0.2405
V  0.0000  0.0000  0.5000
Bi  0.0000  0.0000  0.0000

## Properties
Energy above the lowest structure with this stoichiometry = 20.1 kJ/mol of atoms
ΔH_f (0 K) = 0.948 eV per formula unit

---

Here is an optimized crystal structure of PrIrRu from the Alexandria database. Energies are from PBE.

abc: 8.7921 5.6669 5.0493
angles: 90.00 108.13 90.00
Space group C2/m (No. 12)
One atom of each set of equivalent atoms:
Pr  0.1298  0.0000  0.3668
Ir  0.2500  0.2500  0.0000
Ru  0.0065  0.5000  0.2662

## Properties
Energy above the lowest structure with this stoichiometry = 33.6 kJ/mol of atoms
ΔH_f (0 K) = -0.138 eV per formula unit

---

Here is an optimized crystal structure of Tl2PbCl from the Alexandria database. Energies are from PBE.

abc: 4.0571 5.7606 10.4423
angles: 90.00 90.00 90.00
Space group Cmmm (No. 65)
One atom of each set of equivalent atoms:
Tl  0.0000  0.0000  0.2167
Pb  0.0000  0.5000  0.5000
Cl  0.0000  0.5000  0.0000

## Properties
Energy above the lowest structure with this stoichiometry = 7.0 kJ/mol of atoms
ΔE_f (raw) = -0.2815 eV/atom

---

no.,E (eV per atom)
1,-3.952
2,-7.990
3,-7.685
4,-2.853